This record from the Alexandria database describes crystalline AsAu2I at its relaxed geometry. The functional is PBE.

It has space group I-42d (No. 122), with a = 6.5703 Å, b = 6.5703 Å, c = 10.9639 Å, α = 90.00°, β = 90.00° and γ = 90.00°. The inequivalent atoms are As at (0.0000, 0.0000, 0.0000), Au at (0.1921, 0.2500, 0.1250) and I at (0.0000, 0.0000, 0.5000).

The excess energy over the best structure of this formula in the dataset comes out at 0 meV/atom. The calculation puts the uncorrected formation energy at 128 meV per atom.

***

This record from the Alexandria database describes crystalline U5PaS6 at its relaxed geometry. The functional is PBE.

It has space group C2/m (No. 12), with a = 6.6917 Å, b = 11.6138 Å, c = 6.7149 Å, α = 90.00°, β = 109.48° and γ = 90.00°. The inequivalent atoms are U at (0.0000, 0.0000, 0.0000), U at (0.0000, 0.1668, 0.5000), U at (0.0000, 0.3340, 0.0000), Pa at (0.0000, 0.5000, 0.5000), S at (0.2480, 0.0000, 0.7508) and S at (0.2482, 0.1678, 0.2482).

The calculation puts the uncorrected formation energy at -1416 meV per atom.

***

This record from the Alexandria database describes crystalline NdB3 at its relaxed geometry. The functional is PBE.

It has space group Pnma (No. 62), with a = 6.0208 Å, b = 6.1484 Å, c = 5.6550 Å, α = 90.00°, β = 90.00° and γ = 90.00°. The inequivalent atoms are Nd at (0.0612, 0.2500, 0.1695), B at (0.0718, 0.7500, 0.2880) and B at (0.1836, 0.1165, 0.7019).

For the formation energy, the calculation gives 41 meV/atom.

***

This record from the Alexandria database describes crystalline CsK2Rb4Hg at its relaxed geometry. The functional is PBE.

It has space group P2/m (No. 10), with a = 6.7612 Å, b = 6.7612 Å, c = 13.0028 Å, α = 90.00°, β = 90.26° and γ = 90.00°. The inequivalent atoms are Cs at (0.0000, 0.0000, 0.0000), K at (0.0000, 0.0000, 0.5000), K at (0.5000, 0.5000, 0.0000), Rb at (0.0009, 0.5000, 0.2934), Rb at (0.4994, 0.0000, 0.2935) and Hg at (0.5000, 0.5000, 0.5000).

For the formation energy, the calculation gives -24 meV/atom.

***

This record from the Alexandria database describes crystalline Ac6Sn5O at its relaxed geometry. The functional is PBE.

It has space group C2/m (No. 12), with a = 6.7091 Å, b = 16.4261 Å, c = 8.0780 Å, α = 90.00°, β = 106.53° and γ = 90.00°. The inequivalent atoms are Ac at (0.0180, 0.1696, 0.2485), Ac at (0.1621, 0.5000, 0.3135), Sn at (0.0000, 0.0000, 0.0000), Sn at (0.0000, 0.3361, 0.5000), Sn at (0.0000, 0.3418, 0.0000) and O at (0.0000, 0.0000, 0.5000).

The calculation puts the uncorrected formation energy at -804 meV per atom.

***

This record from the Alexandria database describes crystalline La4Pr3Dy4 at its relaxed geometry. The functional is PBE.

It has space group Amm2 (No. 38), with a = 10.9047 Å, b = 5.8456 Å, c = 12.1506 Å, α = 90.00°, β = 90.00° and γ = 90.00°. The inequivalent atoms are La at (0.0000, 0.0000, 0.0000), La at (0.2090, 0.0000, 0.8014), La at (0.5000, 0.0000, 0.9207), Pr at (0.0000, 0.0000, 0.2926), Pr at (0.2918, 0.0000, 0.4539), Dy at (0.0000, 0.0000, 0.5961), Dy at (0.3069, 0.0000, 0.1490) and Dy at (0.5000, 0.0000, 0.6476).

The excess energy over the best structure of this formula in the dataset comes out at 21 meV/atom. For the formation energy, the calculation gives 145 meV/atom.

***

This record from the Alexandria database describes crystalline Nd2AgAs3Rh4 at its relaxed geometry. The functional is PBE.

It has space group P-4m2 (No. 115), with a = 4.1831 Å, b = 4.1831 Å, c = 10.7281 Å, α = 90.00°, β = 90.00° and γ = 90.00°. The inequivalent atoms are Nd at (0.0000, 0.5000, 0.2470), Ag at (0.5000, 0.5000, 0.0000), As at (0.0000, 0.0000, 0.0000), As at (0.0000, 0.5000, 0.6307), Rh at (0.0000, 0.0000, 0.5000), Rh at (0.0000, 0.5000, 0.8509) and Rh at (0.5000, 0.5000, 0.5000).

For the formation energy, the calculation gives -770 meV/atom.

***

This record from the Alexandria database describes crystalline Li2TmAu3 at its relaxed geometry. The functional is PBE.

It has space group P-3m1 (No. 164), with a = 4.5551 Å, b = 4.5551 Å, c = 12.2653 Å, α = 90.00°, β = 90.00° and γ = 120.00°. The inequivalent atoms are Li at (0.0000, 0.0000, 0.0000), Li at (0.0000, 0.0000, 0.5000), Li at (0.3333, 0.6667, 0.1459), Tm at (0.3333, 0.6667, 0.6787), Au at (0.0000, 0.0000, 0.2134), Au at (0.3333, 0.6667, 0.4351) and Au at (0.3333, 0.6667, 0.9223).

The excess energy over the best structure of this formula in the dataset comes out at 0 meV/atom. For the formation energy, the calculation gives -670 meV/atom.

***

Values for spin magnetization, μB/f.u., ordered as above
0.000, 11.773, 0.000, 0.000, 0.000, 0.000, 0.000, 0.000
Values for energy, eV/cell, ordered as above
-48.97, -215.39, -98.54, -7.41, -118.54, -101.71, -63.44, -44.30